Density functional theory data (PBE) for TiZnNO2 after structural relaxation.

- Symmetry: No. 123
- Uncorrected energy: -32.12 eV/cell

abc: 3.8274 3.8274 3.9945
angles: 90.00 90.00 90.00
Closest atoms and distances in Å follow each position.
Fractional coordinates of all 5 atoms:
Zn 0.5000 0.5000 0.5000  4 N 2.71, 8 O 2.77
N 0.0000 0.0000 0.5000  2 Ti 2.00
O 0.0000 0.5000 0.0000  2 Ti 1.91
O 0.5000 0.0000 0.0000  2 Ti 1.91
Ti 0.0000 0.0000 0.0000  4 O 1.91, 2 N 2.00

***

Density functional theory data (PBE) for TiZnNO2 after structural relaxation.

- Symmetry: No. 123
- Uncorrected energy: -25.42 eV/cell

abc: 3.4385 3.4385 6.0724
angles: 90.00 90.00 90.00
Closest atoms and distances in Å follow each position.
Fractional coordinates of all 5 atoms:
Zn 0.0000 0.0000 0.0000  4 O 1.72
N 0.5000 0.5000 0.5000  4 Ti 2.43
O 0.0000 0.5000 0.0000  2 Zn 1.72
O 0.5000 0.0000 0.0000  2 Zn 1.72
Ti 0.0000 0.0000 0.5000  4 N 2.43

***

Density functional theory data (PBE) for TiZnNO2 after structural relaxation.

- Symmetry: No. 123
- Uncorrected energy: -28.16 eV/cell

abc: 3.7178 3.7178 3.8563
angles: 90.00 90.00 90.00
Closest atoms and distances in Å follow each position.
Fractional coordinates of all 5 atoms:
Zn 0.0000 0.0000 0.0000  4 O 1.86, 2 N 1.93
N 0.0000 0.0000 0.5000  2 Zn 1.93
O 0.0000 0.5000 0.0000  2 Zn 1.86
O 0.5000 0.0000 0.0000  2 Zn 1.86
Ti 0.5000 0.5000 0.5000  4 N 2.63, 8 O 2.68

***

Density functional theory data (PBE) for ZrTiN2O after structural relaxation.

- Symmetry: No. 123
- Uncorrected energy: -44.16 eV/cell

abc: 3.9345 3.9345 3.6975
angles: 90.00 90.00 90.00
Closest atoms and distances in Å follow each position.
Fractional coordinates of all 5 atoms:
N 0.0000 0.5000 0.0000  2 Ti 1.97
N 0.5000 0.0000 0.0000  2 Ti 1.97
O 0.0000 0.0000 0.5000  2 Ti 1.85
Zr 0.5000 0.5000 0.5000  8 N 2.70, 4 O 2.78
Ti 0.0000 0.0000 0.0000  2 O 1.85, 4 N 1.97

***

Density functional theory data (PBE) for ZrTiN2O after structural relaxation.

- Symmetry: No. 123
- Uncorrected energy: -40.04 eV/cell

abc: 4.1897 4.1897 4.0055
angles: 90.00 90.00 90.00
Closest atoms and distances in Å follow each position.
Fractional coordinates of all 5 atoms:
N 0.0000 0.5000 0.0000  2 Zr 2.09
N 0.5000 0.0000 0.0000  2 Zr 2.09
O 0.0000 0.0000 0.5000  2 Zr 2.00
Zr 0.0000 0.0000 0.0000  2 O 2.00, 4 N 2.09
Ti 0.5000 0.5000 0.5000  8 N 2.90, 4 O 2.96

***

Density functional theory data (PBE) for Tl3NO after structural relaxation.

- Symmetry: No. 221
- Energy above the lowest structure with this stoichiometry: 0.0000 eV per atom

abc: 4.8845 4.8845 4.8845
angles: 90.00 90.00 90.00
Closest atoms and distances in Å follow each position.
Fractional coordinates of all 5 atoms:
Tl 0.0000 0.5000 0.0000  2 N 2.44
Tl 0.0000 0.0000 0.5000  2 N 2.44
Tl 0.5000 0.0000 0.0000  2 N 2.44
O 0.5000 0.5000 0.5000  12 Tl 3.45
N 0.0000 0.0000 0.0000  6 Tl 2.44

***

Density functional theory data (PBE) for TlN3O after structural relaxation.

- Symmetry: No. 221
- Uncorrected energy: -19.30 eV/cell

abc: 3.7528 3.7528 3.7528
angles: 90.00 90.00 90.00
Closest atoms and distances in Å follow each position.
Fractional coordinates of all 5 atoms:
Tl 0.5000 0.5000 0.5000  12 N 2.65
O 0.0000 0.0000 0.0000  6 N 1.88
N 0.0000 0.5000 0.0000  2 O 1.88
N 0.0000 0.0000 0.5000  2 O 1.88
N 0.5000 0.0000 0.0000  2 O 1.88

***

Density functional theory data (PBE) for TlN3O after structural relaxation.

- Symmetry: No. 221
- Uncorrected energy: -16.94 eV/cell

abc: 4.4086 4.4086 4.4086
angles: 90.00 90.00 90.00
Closest atoms and distances in Å follow each position.
Fractional coordinates of all 5 atoms:
Tl 0.0000 0.0000 0.0000  6 N 2.20
O 0.5000 0.5000 0.5000  12 N 3.12
N 0.0000 0.5000 0.0000  2 Tl 2.20
N 0.0000 0.0000 0.5000  2 Tl 2.20
N 0.5000 0.0000 0.0000  2 Tl 2.20